Here is a relaxed structure of BaYMnCuO5 from the Alexandria database. Energies are from GGA+U.

Results
E_tot in eV for the cell shown: -64.06
Space group: No. 99

Cell: 3.911 3.911 7.788 Å, 90.00 90.00 90.00°
Fractional coordinates of all 9 atoms:
Ba: 0.500 0.500 0.013
Y: 0.500 0.500 0.541
Mn: 0.000 0.000 0.300
Cu: 0.000 0.000 0.759
O: 0.000 0.000 0.045
O: 0.500 0.000 0.355
O: 0.000 0.500 0.355
O: 0.500 0.000 0.720
O: 0.000 0.500 0.720